The following is a PBE calculation of a relaxed structure of Hf4AlRe, from Alexandria.

Calculated values
calculated density	11.3	g/cm³
ΔE to the lowest computed polymorph	313.2	meV/atom
formation energy	93	meV/atom
magnetization	0.00	μB per formula unit

Lattice parameters (Å, degrees): 7.9368 4.5776 7.9228 90.00 109.44 90.00
Last column: nearest neighbours and their distance in Å.
Space group C2/m (No. 12)
Inequivalent atoms, fractional coordinates:
Hf: 0.1205 0.0000 0.3606 (multiplicity 4)  1 Re 2.69, 3 Al 2.84
Hf: 0.1291 0.5000 0.8874 (multiplicity 4)  3 Re 2.77-2.78, 1 Al 2.89
Al: 0.0000 0.5000 0.5000 (multiplicity 2)  8 Hf 2.84-2.89
Re: 0.0000 0.0000 0.0000 (multiplicity 2)  8 Hf 2.69-2.78